1.
DFT (GGA-PBE) results for an optimized crystal structure of Y3SbTe.

Output
Space-group type = C2/m
E_form (uncorrected) = -0.748 eV/atom
Relative energy among the computed polymorphs = 0 meV per atom

Cell lengths 4.2995, 8.8795, 10.3872 Å; angles 109.26, 90.00, 104.02 degrees
With the nearest neighbours (Å) after each atom.
Fractional coordinates of all 10 atoms:
Te  0.1638  0.3271  0.8388  5 Y 3.00-3.19
Te  0.8362  0.6729  0.1612  5 Y 3.00-3.19
Y  0.1858  0.3713  0.5649  1 Te 3.00, 3 Sb 3.00-3.11
Y  0.9845  0.9691  0.8279  2 Sb 3.04, 1 Te 3.05
Y  0.6467  0.2930  0.0540  3 Te 3.08-3.19, 1 Sb 3.27
Y  0.0155  0.0309  0.1721  2 Sb 3.04, 1 Te 3.05
Y  0.8142  0.6287  0.4351  1 Te 3.00, 3 Sb 3.00-3.11
Y  0.3533  0.7070  0.9460  3 Te 3.08-3.19, 1 Sb 3.27
Sb  0.3768  0.7539  0.6466  6 Y 3.00-3.27
Sb  0.6232  0.2461  0.3534  6 Y 3.00-3.27



2.
DFT (GGA-PBE) results for an optimized crystal structure of Y2SbTe2.

Output
Space-group type = P4/mbm
E_form (uncorrected) = -1.084 eV/atom
Relative energy among the computed polymorphs = 0 meV per atom

Cell lengths 8.5163, 8.5163, 3.9711 Å; angles 90.00, 90.00, 90.00 degrees
With the nearest neighbours (Å) after each atom.
Fractional coordinates of all 10 atoms:
Y  0.1591  0.3409  0.0000  6 Te 3.13-3.23, 2 Sb 3.20
Y  0.8409  0.6591  0.0000  6 Te 3.13-3.23, 2 Sb 3.20
Y  0.6591  0.1591  0.0000  6 Te 3.13-3.23, 2 Sb 3.20
Y  0.3409  0.8409  0.0000  6 Te 3.13-3.23, 2 Sb 3.20
Te  0.3599  0.1401  0.5000  6 Y 3.13-3.23, 1 Te 3.37
Te  0.8599  0.3599  0.5000  6 Y 3.13-3.23, 1 Te 3.37
Te  0.1401  0.6401  0.5000  6 Y 3.13-3.23, 1 Te 3.37
Te  0.6401  0.8599  0.5000  6 Y 3.13-3.23, 1 Te 3.37
Sb  0.0000  0.0000  0.0000  4 Y 3.20
Sb  0.5000  0.5000  0.0000  4 Y 3.20



3.
DFT (GGA-PBE) results for an optimized crystal structure of YSbTe2.

Output
Space-group type = Pm
E_form (uncorrected) = -0.722 eV/atom

Cell lengths 4.3911, 4.2846, 6.9371 Å; angles 71.87, 90.00, 90.00 degrees
With the nearest neighbours (Å) after each atom.
Fractional coordinates of all 4 atoms:
Te  0.5000  0.2758  0.3344  4 Y 3.20-3.22, 1 Sb 3.29
Te  0.0000  0.0079  0.8532  4 Sb 3.06-3.08, 2 Y 3.27-3.29
Y  0.0000  0.7013  0.4772  6 Te 3.20-3.29, 2 Sb 3.22
Sb  0.5000  0.5150  0.8352  5 Te 3.06-3.29, 2 Y 3.22



4.
DFT (GGA-PBE) results for an optimized crystal structure of Y2SbTe.

Output
Space-group type = P4/mmm
E_form (uncorrected) = -1.281 eV/atom
Relative energy among the computed polymorphs = 3 meV per atom

Cell lengths 6.1895, 4.3731, 4.3777 Å; angles 90.01, 90.00, 90.00 degrees
With the nearest neighbours (Å) after each atom.
Fractional coordinates of all 4 atoms:
Y  0.5000  0.3750  0.3749  4 Te 3.09, 2 Sb 3.09
Y  0.0000  0.8749  0.8750  4 Sb 3.09, 2 Te 3.09
Sb  0.0000  0.3750  0.3751  6 Y 3.09
Te  0.5000  0.8751  0.8750  6 Y 3.09



5.
DFT (GGA-PBE) results for an optimized crystal structure of Y2SbTe.

Output
Space-group type = F-43m
E_form (uncorrected) = -0.343 eV/atom
Relative energy among the computed polymorphs = 942 meV per atom

Cell lengths 5.3749, 5.3749, 5.3749 Å; angles 60.00, 60.00, 60.00 degrees
With the nearest neighbours (Å) after each atom.
Fractional coordinates of all 4 atoms:
Sb  0.5000  0.5000  0.5000  4 Te 3.29, 4 Y 3.29
Y  0.2500  0.2500  0.2500  4 Sb 3.29, 4 Y 3.29
Y  0.0000  0.0000  0.0000  4 Te 3.29, 4 Y 3.29
Te  0.7500  0.7500  0.7500  4 Y 3.29, 4 Sb 3.29



6.
DFT (GGA-PBE) results for an optimized crystal structure of Y2SbTe.

Output
Space-group type = R3m
E_form (uncorrected) = -0.342 eV/atom
Relative energy among the computed polymorphs = 942 meV per atom

Cell lengths 10.1648, 10.1648, 10.1648 Å; angles 22.02, 22.02, 22.02 degrees
With the nearest neighbours (Å) after each atom.
Fractional coordinates of all 4 atoms:
Te  0.7449  0.7449  0.7449  3 Y 2.99
Y  0.2426  0.2426  0.2426  3 Sb 3.17
Y  0.0118  0.0118  0.0118  3 Te 2.99
Sb  0.5007  0.5007  0.5007  3 Y 3.17, 3 Te 3.47



7.
DFT (GGA-PBE) results for an optimized crystal structure of YSbTe2.

Output
Space-group type = I-42d
E_form (uncorrected) = -0.333 eV/atom

Cell lengths 5.5963, 5.5963, 10.1719 Å; angles 74.03, 74.03, 90.00 degrees
With the nearest neighbours (Å) after each atom.
Fractional coordinates of all 8 atoms:
Sb  0.7500  0.2500  0.5000  4 Te 3.09
Sb  0.0000  0.0000  0.0000  4 Te 3.09
Te  0.6166  0.1250  0.2500  2 Y 3.05, 2 Sb 3.09
Te  0.8750  0.8666  0.7500  2 Y 3.05, 2 Sb 3.09
Te  0.1334  0.6250  0.2500  2 Y 3.05, 2 Sb 3.09
Te  0.3750  0.3834  0.7500  2 Y 3.05, 2 Sb 3.09
Y  0.5000  0.5000  0.0000  4 Te 3.05
Y  0.2500  0.7500  0.5000  4 Te 3.05



8.
DFT (GGA-PBE) results for an optimized crystal structure of YSbTe2.

Output
Space-group type = P4/mmm
E_form (uncorrected) = -0.607 eV/atom

Cell lengths 3.8344, 3.8344, 7.6242 Å; angles 90.00, 90.00, 90.00 degrees
With the nearest neighbours (Å) after each atom.
Fractional coordinates of all 4 atoms:
Y  0.5000  0.5000  0.2500  8 Te 3.20
Sb  0.5000  0.5000  0.7500  8 Te 3.44, 2 Y 3.81, 4 Sb 3.83
Te  0.0000  0.0000  0.4724  4 Y 3.20, 1 Te 3.39, 4 Sb 3.44
Te  0.0000  0.0000  0.0276  4 Y 3.20, 1 Te 3.39, 4 Sb 3.44



9.
DFT (GGA-PBE) results for an optimized crystal structure of YSb3Te.

Output
Space-group type = Pm-3m
E_form (uncorrected) = 0.452 eV/atom
Relative energy among the computed polymorphs = 0 meV per atom

Cell lengths 5.6255, 5.6255, 5.6255 Å; angles 90.00, 90.00, 90.00 degrees
With the nearest neighbours (Å) after each atom.
Fractional coordinates of all 5 atoms:
Sb  0.5000  0.0000  0.0000  2 Te 2.81
Sb  0.0000  0.0000  0.5000  2 Te 2.81
Sb  0.0000  0.5000  0.0000  2 Te 2.81
Te  0.0000  0.0000  0.0000  6 Sb 2.81
Y  0.5000  0.5000  0.5000  12 Sb 3.98



10.
DFT (GGA-PBE) results for an optimized crystal structure of YSbTe.

Output
Space-group type = I4/mmm
E_form (uncorrected) = -1.074 eV/atom

Cell lengths 4.2755, 4.2755, 9.8685 Å; angles 102.51, 102.51, 90.00 degrees
With the nearest neighbours (Å) after each atom.
Fractional coordinates of all 6 atoms:
Te  0.1891  0.1891  0.3783  5 Y 3.16-3.22
Te  0.8109  0.8109  0.6217  5 Y 3.16-3.22
Sb  0.5000  0.0000  0.0000  4 Sb 3.02, 4 Y 3.38
Sb  0.0000  0.5000  0.0000  4 Sb 3.02, 4 Y 3.38
Y  0.6393  0.6393  0.2786  5 Te 3.16-3.22, 4 Sb 3.38
Y  0.3607  0.3607  0.7214  5 Te 3.16-3.22, 4 Sb 3.38



11.
DFT (GGA-PBE) results for an optimized crystal structure of Y2SbTe.

Output
Space-group type = Amm2
E_form (uncorrected) = -1.096 eV/atom
Relative energy among the computed polymorphs = 189 meV per atom

Cell lengths 6.6295, 6.6295, 4.5059 Å; angles 90.00, 90.00, 36.80 degrees
With the nearest neighbours (Å) after each atom.
Fractional coordinates of all 4 atoms:
Y  0.0109  0.0109  0.1254  1 Te 3.02, 4 Sb 3.08
Y  0.7451  0.7451  0.6246  4 Te 3.08, 1 Sb 3.17
Te  0.2510  0.2510  0.1246  5 Y 3.02-3.08
Sb  0.4930  0.4930  0.6254  5 Y 3.08-3.17



12.
DFT (GGA-PBE) results for an optimized crystal structure of YSbTe.

Output
Space-group type = P-6m2
E_form (uncorrected) = -0.553 eV/atom

Cell lengths 5.1336, 5.1336, 3.9188 Å; angles 90.00, 90.00, 120.00 degrees
With the nearest neighbours (Å) after each atom.
Fractional coordinates of all 3 atoms:
Sb  0.0000  0.0000  0.9997  6 Y 3.55, 6 Te 3.55, 2 Sb 3.92
Te  0.6667  0.3333  0.4998  3 Y 2.96
Y  0.3333  0.6667  0.5005  3 Te 2.96



13.
DFT (GGA-PBE) results for an optimized crystal structure of YSb2Te.

Output
Space-group type = Pm
E_form (uncorrected) = -0.668 eV/atom

Cell lengths 4.5216, 4.2622, 6.3743 Å; angles 71.16, 90.00, 90.00 degrees
With the nearest neighbours (Å) after each atom.
Fractional coordinates of all 4 atoms:
Te  0.0000  0.4752  0.5777  1 Sb 3.04, 4 Y 3.17-3.24
Sb  0.5000  0.2610  0.1347  4 Sb 2.98-3.28, 1 Y 3.24
Sb  0.0000  0.8382  0.0808  4 Sb 2.98-3.28, 1 Te 3.04, 2 Y 3.22
Y  0.5000  0.9256  0.7068  4 Te 3.17-3.24, 5 Sb 3.22-3.46



14.
DFT (GGA-PBE) results for an optimized crystal structure of YSb2Te.

Output
Space-group type = R3m
E_form (uncorrected) = -0.492 eV/atom

Cell lengths 7.9182, 7.9182, 7.9182 Å; angles 33.50, 33.50, 33.50 degrees
With the nearest neighbours (Å) after each atom.
Fractional coordinates of all 4 atoms:
Sb  0.9952  0.9952  0.9952  3 Sb 2.92, 3 Y 3.26
Sb  0.2724  0.2724  0.2724  3 Sb 2.92
Te  0.4848  0.4848  0.4848  3 Y 3.07
Y  0.7476  0.7476  0.7476  3 Te 3.07, 3 Sb 3.26



15.
DFT (GGA-PBE) results for an optimized crystal structure of Y2SbTe.

Output
Space-group type = Cmmm
E_form (uncorrected) = -1.009 eV/atom
Relative energy among the computed polymorphs = 275 meV per atom

Cell lengths 3.7885, 3.7885, 7.8105 Å; angles 90.00, 90.00, 98.15 degrees
With the nearest neighbours (Å) after each atom.
Fractional coordinates of all 4 atoms:
Y  0.0000  0.0000  0.4949  4 Sb 3.13-3.44, 4 Te 3.18-3.49
Y  0.0000  0.0000  0.0051  4 Sb 3.13-3.44, 4 Te 3.18-3.49
Te  0.5000  0.5000  0.7500  8 Y 3.18-3.49
Sb  0.5000  0.5000  0.2500  8 Y 3.13-3.44



16.
DFT (GGA-PBE) results for an optimized crystal structure of Y8Sb4Te3.

Output
Space-group type = C2/m
E_form (uncorrected) = -1.128 eV/atom

Cell lengths 8.7045, 8.6817, 8.6817 Å; angles 90.09, 120.01, 120.01 degrees
With the nearest neighbours (Å) after each atom.
Fractional coordinates of all 15 atoms:
Te  0.5000  0.0000  0.5000  6 Y 3.07
Te  0.5000  0.5000  0.0000  6 Y 3.07
Te  0.5000  0.5000  0.5000  6 Y 3.10-3.12
Y  0.9953  0.2498  0.2498  4 Sb 3.05-3.09, 1 Te 3.10
Y  0.5000  0.7538  0.2462  3 Sb 3.03-3.07, 3 Te 3.07-3.12
Y  0.0000  0.7503  0.2497  3 Sb 3.07, 2 Te 3.07
Y  0.4955  0.2450  0.2450  2 Sb 3.03-3.05, 3 Te 3.07-3.10
Y  0.0000  0.2497  0.7503  3 Sb 3.07, 2 Te 3.07
Y  0.5000  0.2462  0.7538  3 Sb 3.03-3.07, 3 Te 3.07-3.12
Y  0.5045  0.7550  0.7550  2 Sb 3.03-3.05, 3 Te 3.07-3.10
Y  0.0047  0.7502  0.7502  4 Sb 3.05-3.09, 1 Te 3.10
Sb  0.0000  0.0000  0.5000  6 Y 3.07
Sb  0.5000  0.0000  0.0000  6 Y 3.03-3.05
Sb  0.0000  0.5000  0.0000  6 Y 3.07
Sb  0.0000  0.0000  0.0000  6 Y 3.05-3.09



17.
DFT (GGA-PBE) results for an optimized crystal structure of YSb2Te.

Output
Space-group type = Immm
E_form (uncorrected) = -0.522 eV/atom

Cell lengths 6.4351, 6.4351, 6.4351 Å; angles 139.75, 139.38, 58.51 degrees
With the nearest neighbours (Å) after each atom.
Fractional coordinates of all 4 atoms:
Sb  0.4990  0.4990  0.0000  4 Sb 3.14-3.15
Sb  0.0010  0.0010  0.0000  4 Sb 3.14-3.15
Te  0.7500  0.2500  0.5000  4 Y 3.14
Y  0.2500  0.7500  0.5000  4 Te 3.14



18.
DFT (GGA-PBE) results for an optimized crystal structure of YSbTe2.

Output
Space-group type = Cm
E_form (uncorrected) = -0.600 eV/atom

Cell lengths 6.2344, 6.2344, 5.1124 Å; angles 82.49, 82.49, 37.06 degrees
With the nearest neighbours (Å) after each atom.
Fractional coordinates of all 4 atoms:
Te  0.7805  0.7805  0.6995  2 Sb 3.09, 2 Y 3.24, 1 Te 3.30
Te  0.0064  0.0064  0.0148  1 Sb 3.02, 4 Y 3.20-3.28, 1 Te 3.30
Sb  0.2208  0.2208  0.2763  3 Te 3.02-3.09
Y  0.4924  0.4924  0.5094  6 Te 3.20-3.28, 3 Sb 3.43-3.58



19.
DFT (GGA-PBE) results for an optimized crystal structure of Y8Sb3Te4.

Output
Space-group type = C2/m
E_form (uncorrected) = -1.149 eV/atom

Cell lengths 8.6418, 8.6674, 8.6674 Å; angles 89.95, 119.98, 119.98 degrees
With the nearest neighbours (Å) after each atom.
Fractional coordinates of all 15 atoms:
Te  0.0000  0.5000  0.0000  6 Y 3.06-3.07
Te  0.0000  0.0000  0.5000  6 Y 3.06-3.07
Te  0.0000  0.0000  0.0000  6 Y 3.11-3.15
Te  0.5000  0.0000  0.0000  6 Y 3.09-3.11
Y  0.5000  0.7464  0.2536  3 Sb 3.02-3.07, 3 Te 3.06-3.11
Y  0.0000  0.2553  0.7447  2 Sb 3.06, 3 Te 3.07-3.13
Y  0.5157  0.2603  0.2603  3 Sb 3.04-3.06, 2 Te 3.10-3.15
Y  0.9944  0.7437  0.7437  1 Sb 3.02, 4 Te 3.06-3.11
Y  0.5000  0.2536  0.7464  3 Sb 3.02-3.07, 3 Te 3.06-3.11
Y  0.0056  0.2563  0.2563  1 Sb 3.02, 4 Te 3.06-3.11
Y  0.0000  0.7447  0.2553  2 Sb 3.06, 3 Te 3.07-3.13
Y  0.4843  0.7397  0.7397  3 Sb 3.04-3.06, 2 Te 3.10-3.15
Sb  0.5000  0.5000  0.0000  6 Y 3.06-3.07
Sb  0.5000  0.0000  0.5000  6 Y 3.06-3.07
Sb  0.5000  0.5000  0.5000  6 Y 3.02-3.04



20.
DFT (GGA-PBE) results for an optimized crystal structure of YSb2Te.

Output
Space-group type = P4mm
E_form (uncorrected) = -0.549 eV/atom

Cell lengths 3.9146, 3.9146, 7.8155 Å; angles 90.00, 90.00, 90.00 degrees
With the nearest neighbours (Å) after each atom.
Fractional coordinates of all 4 atoms:
Te  0.0000  0.0000  0.5574  4 Y 3.12
Y  0.5000  0.5000  0.7428  4 Te 3.12, 5 Sb 3.47-3.48
Sb  0.5000  0.5000  0.1868  4 Sb 3.08
Sb  0.0000  0.0000  0.0129  4 Sb 3.08